First-principles (GGA-PBE) data for a relaxed structure of AlNi7P2, as listed in the Alexandria database.

Calculated volume (Å³/atom): 11.7
Formation energy (eV/atom): -0.509
Symmetry: I4/mmm, No. 139

a = 3.641 Å, b = 3.641 Å, c = 9.208 Å
α = 101.40°, β = 101.40°, γ = 90.00°
Sites, in units of the cell vectors:
Al1 0.000 0.000 0.000
Ni1 0.101 0.601 0.202
Ni2 0.399 0.899 0.798
Ni3 0.601 0.101 0.202
Ni4 0.500 0.500 0.000
Ni5 0.750 0.250 0.500
Ni6 0.899 0.399 0.798
Ni7 0.250 0.750 0.500
P1 0.672 0.672 0.344
P2 0.328 0.328 0.656



First-principles (GGA-PBE) data for a relaxed structure of SrCuRu2, as listed in the Alexandria database.

Calculated volume (Å³/atom): 21.5
Formation energy (eV/atom): 0.157
Symmetry: R3m, No. 160
Polymorph energy (0 for the lowest one) (meV/atom): 0

a = 4.263 Å, b = 4.263 Å, c = 5.994 Å
α = 69.18°, β = 69.18°, γ = 60.00°
Sites, in units of the cell vectors:
Cu1 0.300 0.300 0.101
Ru1 0.012 0.012 0.963
Ru2 0.689 0.689 0.933
Sr1 0.499 0.499 0.503